Record 1
The following is a PBE-GGA calculation of an optimized crystal structure of HoErFe2Si2, from OQMD via LeMat-Bulk.

The structure in POSCAR format:
```
HoErFe2Si2
1.0
4.022 0.000 0.000
0.000 4.022 0.000
0.000 0.000 6.403
Ho Er Fe Si
1 1 2 2
direct
0.000 0.000 0.000
0.500 0.500 0.368
0.000 0.500 0.683
0.500 0.000 0.683
0.000 0.000 0.500
0.500 0.500 0.866
```

Calculated values
Uncorrected energy, eV/atom: -6.750

=====

Record 2
The following is a PBE-GGA calculation of an optimized crystal structure of CsPdO3, from OQMD via LeMat-Bulk.

The structure in POSCAR format:
```
CsPdO3
1.0
5.793 0.000 0.000
0.000 8.330 0.000
0.000 0.000 5.794
Cs Pd O
4 4 12
direct
0.002 0.250 0.000
0.498 0.750 0.500
0.502 0.250 0.500
0.998 0.750 0.000
0.000 0.000 0.500
0.000 0.500 0.500
0.500 0.000 0.000
0.500 0.500 0.000
0.000 0.250 0.494
0.000 0.750 0.506
0.228 0.504 0.228
0.228 0.996 0.228
0.272 0.004 0.728
0.272 0.496 0.728
0.500 0.250 0.006
0.500 0.750 0.994
0.728 0.504 0.272
0.728 0.996 0.272
0.772 0.004 0.772
0.772 0.496 0.772
```

Calculated values
Uncorrected energy, eV/atom: -4.435